ReAs4Se | PBE | optimized geometry

The space group is F-43m (No. 216) and the conventional cell measures 7.743, 7.743 and 7.743 Å, with angles of 90.00, 90.00 and 90.00 degrees. Symmetry generates all atoms from Re at (0.000, 0.000, 0.000), As at (0.125, 0.125, 0.375) and Se at (0.250, 0.250, 0.750).

The calculation puts the density of states at the Fermi level at 16.2 states/eV/cell. Its total energy is -4.65 eV/atom. For the total magnetization, the calculation gives 9.7 Bohr magnetons per cell.